1.
# Pm3BeGe5 (GGA-PBE, relaxed)
data_Pm3BeGe5
_chemical_formula_sum 'Pm6 Be2 Ge10'
_cell_length_a 8.7567
_cell_length_b 8.7567
_cell_length_c 5.8538
_cell_angle_alpha 90.00
_cell_angle_beta 90.00
_cell_angle_gamma 120.00
_space_group_name_H-M_alt 'P 63/m c m'
_space_group_IT_number 193
_space_group_name_Hall '-P 6c 2'
loop_
_atom_site_label
_atom_site_fract_x
_atom_site_fract_y
_atom_site_fract_z
Pm1 0.0000 0.3830 0.2500
Be1 0.0000 0.0000 0.0000
Ge1 0.0000 0.2353 0.7500
Ge2 0.3333 0.6667 0.0000
# * size of the total moment: 0.00 μB per cell

***

2.
# BaCdCo3 (GGA-PBE, relaxed)
data_BaCdCo3
_chemical_formula_sum 'Ba1 Cd1 Co3'
_cell_length_a 4.880
_cell_length_b 4.880
_cell_length_c 4.880
_cell_angle_alpha 90.00
_cell_angle_beta 90.00
_cell_angle_gamma 90.00
_space_group_name_H-M_alt 'P m -3 m'
_space_group_IT_number 221
_space_group_name_Hall '-P 4 2 3'
loop_
_atom_site_label
_atom_site_fract_x
_atom_site_fract_y
_atom_site_fract_z
Ba1 0.000 0.000 0.000
Cd1 0.500 0.500 0.500
Co1 0.000 0.000 0.500
# * size of the total moment: 3.22 μB per cell
# * excess energy over the best structure of this formula in the dataset: 0.925 eV per atom

***

no.,formation enthalpy at 0 K (eV per atom)
1,-0.38
2,2.02